1.
Entry from OQMD via LeMat-Bulk: crystalline NbSiO at its relaxed geometry (GGA-PBE). Values from VASP.

```
&SYSTEM
  ibrav = 0, nat = 9, ntyp = 3
/
ATOMIC_SPECIES
Si 28.09 Si.upf
O 16.00 O.upf
Nb 92.91 Nb.upf
ATOMIC_POSITIONS angstrom
Si 3.4568 -6.7628 4.1086
Si 3.7358 -3.6784 1.7883
Si 0.4572 -2.7780 -0.0600
O 1.9570 -4.7704 2.0243
O 1.8965 -1.2349 -0.7679
O 5.5750 -6.1218 4.3444
Nb 3.1093 -4.1306 4.3211
Nb 1.6211 -2.1536 2.2530
Nb 0.0000 0.0000 0.0000
CELL_PARAMETERS angstrom
-2.1870 -2.7202 -1.0266
3.1493 0.5557 -1.7349
4.7305 -6.2843 6.5741
```

- E_tot: -7.02 eV/atom
- M_tot: 0.01 μB per formula unit
- Theoretical density: 5.8 g/cm³
- SG: P-6m2

2.
Entry from OQMD via LeMat-Bulk: crystalline Li2HfTe3 at its relaxed geometry (GGA-PBE). Values from VASP.

```
&SYSTEM
  ibrav = 0, nat = 12, ntyp = 3
/
ATOMIC_SPECIES
Li 6.94 Li.upf
Hf 178.49 Hf.upf
Te 127.60 Te.upf
ATOMIC_POSITIONS angstrom
Li -3.0708 -3.2309 -1.7988
Li -3.6127 -5.0682 -3.9266
Li -1.2426 -6.0543 -0.4368
Li -5.4409 -2.2449 -5.2886
Hf -6.4065 -6.5693 -2.5553
Hf -0.2770 -1.7298 -3.1701
Te -1.0020 -4.5592 -2.9062
Te -2.6857 -0.6352 -2.1613
Te -5.6816 -3.7399 -2.8192
Te -6.2940 0.2876 -3.9029
Te -0.3895 -8.5867 -1.8225
Te -3.9979 -7.6639 -3.5640
CELL_PARAMETERS angstrom
-7.1197 2.0889 -3.4908
1.5924 -0.7529 -3.6984
-1.1562 -9.6351 1.4637
```

- M_tot: 0.00 μB per formula unit
- Theoretical density: 5.9 g/cm³
- Distance to the lowest polymorph of the same formula: 0 meV per atom
- SG: P2_1/m

3.
Entry from OQMD via LeMat-Bulk: crystalline Sr2HoO4 at its relaxed geometry (GGA-PBE). Values from VASP.

```
&SYSTEM
  ibrav = 0, nat = 14, ntyp = 3
/
ATOMIC_SPECIES
O 16.00 O.upf
Sr 87.62 Sr.upf
Ho 164.93 Ho.upf
ATOMIC_POSITIONS angstrom
O -1.2476 1.2474 -3.7415
O 3.7417 1.2471 -3.7418
O 1.2466 1.2471 -1.2471
O 1.2476 -1.2474 -3.7415
O 3.7417 3.7418 -1.2471
O 3.7407 -1.2474 -1.2474
O 1.2466 3.7418 -3.7418
O 6.2358 1.2474 -1.2474
Sr 3.7412 1.2472 -1.2472
Sr 1.2471 1.2472 -3.7417
Sr -1.2471 -1.2472 -3.7417
Sr 6.2353 -1.2472 -1.2472
Ho 0.0000 0.0000 0.0000
Ho 2.4941 -2.4944 -2.4944
CELL_PARAMETERS angstrom
4.9883 -4.9889 0.0000
-4.9883 0.0000 -4.9889
4.9883 4.9889 0.0000
```

- E_tot: -6.62 eV/atom
- M_tot: 1.00 μB per formula unit
- Theoretical density: 5.4 g/cm³
- SG: Fd-3m

4.
Entry from OQMD via LeMat-Bulk: crystalline NdGa at its relaxed geometry (GGA-PBE). Values from VASP.

```
&SYSTEM
  ibrav = 0, nat = 4, ntyp = 2
/
ATOMIC_SPECIES
Nd 144.24 Nd.upf
Ga 69.72 Ga.upf
ATOMIC_POSITIONS angstrom
Nd -1.2541 -0.8493 5.2177
Nd 0.4371 -2.4542 1.8152
Ga 0.6184 0.3514 3.0820
Ga 0.0000 0.0000 0.0000
CELL_PARAMETERS angstrom
-4.4913 -0.1229 0.9152
2.4375 -3.8834 -0.0463
1.2368 0.7028 6.1639
```

- E_tot: -4.22 eV/atom
- M_tot: 0.63 μB per formula unit
- Theoretical density: 6.2 g/cm³
- SG: P6_3/mmc

5.
Entry from OQMD via LeMat-Bulk: crystalline NaErZnTe3 at its relaxed geometry (GGA-PBE). Values from VASP.

```
&SYSTEM
  ibrav = 0, nat = 24, ntyp = 4
/
ATOMIC_SPECIES
Te 127.60 Te.upf
Zn 65.41 Zn.upf
Na 22.99 Na.upf
Er 167.26 Er.upf
ATOMIC_POSITIONS angstrom
Te -11.1663 -5.2384 7.9082
Te -8.0404 0.1617 3.6390
Te -1.3945 -0.3937 1.1162
Te -5.1756 1.5394 0.6914
Te -7.0849 -4.9906 9.1108
Te -4.6068 -5.9108 5.5611
Te -8.3015 -3.8606 4.9607
Te -5.1236 -2.6648 2.0733
Te -14.9475 -3.3053 7.4835
Te -11.7351 2.2118 3.0386
Te -11.2184 -1.0342 6.5264
Te -9.2571 1.2916 -0.5111
Zn -3.8431 -0.2607 2.1281
Zn -9.2469 1.9762 2.1259
Zn -12.4988 -3.4383 6.4716
Zn -7.0950 -5.6751 6.4738
Na -3.4697 -0.1796 -1.5719
Na -5.1698 -2.6447 5.5014
Na -11.1721 -1.0543 3.0983
Na -12.8722 -3.5194 10.1716
Er -9.1047 -2.9866 7.7666
Er -7.2373 -0.7123 0.8331
Er -2.1201 -3.3372 1.4180
Er -14.2218 -0.3618 7.1817
CELL_PARAMETERS angstrom
-10.1266 5.3955 -1.3887
-1.2798 -3.0943 -2.6902
-5.5755 -7.5473 11.3335
```

- M_tot: 0.00 μB per formula unit
- Theoretical density: 5.8 g/cm³
- Distance to the lowest polymorph of the same formula: 0 meV per atom
- SG: Pnma

6.
Entry from OQMD via LeMat-Bulk: crystalline Cs2TlCdCl6 at its relaxed geometry (GGA-PBE). Values from VASP.

```
&SYSTEM
  ibrav = 0, nat = 10, ntyp = 4
/
ATOMIC_SPECIES
Cs 132.91 Cs.upf
Cl 35.45 Cl.upf
Cd 112.41 Cd.upf
Tl 204.38 Tl.upf
ATOMIC_POSITIONS angstrom
Cs 2.7101 2.7101 2.7101
Cs 8.1303 8.1303 8.1303
Cl 5.4202 5.4202 8.2083
Cl 8.2083 5.4202 5.4202
Cl 5.4202 8.2083 5.4202
Cl 5.4202 5.4202 2.6320
Cl 5.4202 2.6320 5.4202
Cl 2.6320 5.4202 5.4202
Cd 0.0000 0.0000 0.0000
Tl 5.4202 5.4202 5.4202
CELL_PARAMETERS angstrom
0.0000 5.4202 5.4202
5.4202 0.0000 5.4202
5.4202 5.4202 0.0000
```

- E_tot: -2.98 eV/atom
- Theoretical density: 4.1 g/cm³
- SG: Fm-3m

7.
Entry from OQMD via LeMat-Bulk: crystalline HfNbSi2P2 at its relaxed geometry (GGA-PBE). Values from VASP.

```
&SYSTEM
  ibrav = 0, nat = 6, ntyp = 4
/
ATOMIC_SPECIES
Si 28.09 Si.upf
Nb 92.91 Nb.upf
P 30.97 P.upf
Hf 178.49 Hf.upf
ATOMIC_POSITIONS angstrom
Si -1.2178 -1.1341 -0.4908
Si 0.9671 -0.4480 -1.3690
Nb 0.6392 -3.0751 -0.8126
P 1.3608 -2.2832 1.6014
P 1.8118 -5.0426 0.5674
Hf 2.5457 -4.2714 2.9959
CELL_PARAMETERS angstrom
-2.4769 -2.1988 -1.0303
1.8928 -0.8265 -2.7867
3.4914 -5.8582 4.1089
```

- E_tot: -7.67 eV/atom
- M_tot: 0.00 μB per formula unit
- Theoretical density: 6.8 g/cm³
- SG: P4mm

8.
Entry from OQMD via LeMat-Bulk: crystalline Li2GeAu at its relaxed geometry (GGA-PBE). Values from VASP.

```
&SYSTEM
  ibrav = 0, nat = 8, ntyp = 3
/
ATOMIC_SPECIES
Li 6.94 Li.upf
Ge 72.64 Ge.upf
Au 196.97 Au.upf
ATOMIC_POSITIONS angstrom
Li 2.1988 2.1988 0.0000
Li 2.1988 0.0000 4.6693
Li 0.0000 0.0000 3.1105
Li 0.0000 2.1988 1.5516
Ge 2.1988 2.1988 3.1105
Ge 0.0000 0.0000 0.0000
Au 0.0000 2.1988 4.6695
Au 2.1988 0.0000 1.5514
CELL_PARAMETERS angstrom
4.3977 0.0000 0.0000
0.0000 4.3977 0.0000
0.0000 0.0000 6.2209
```

- E_tot: -3.41 eV/atom
- Theoretical density: 7.8 g/cm³
- SG: P-4m2

9.
Entry from OQMD via LeMat-Bulk: crystalline Be2CoPt at its relaxed geometry (GGA-PBE). Values from VASP.

```
&SYSTEM
  ibrav = 0, nat = 16, ntyp = 3
/
ATOMIC_SPECIES
Pt 195.08 Pt.upf
Be 9.01 Be.upf
Co 58.93 Co.upf
ATOMIC_POSITIONS angstrom
Pt 2.2042 4.3217 1.5156
Pt 2.9424 6.2182 4.7745
Pt 0.3690 0.9482 1.6296
Pt 1.1071 2.8447 4.8886
Be 4.2677 3.2059 1.6983
Be 2.3739 6.4505 2.5034
Be 0.9375 0.7159 3.9007
Be 2.7726 4.0893 3.7868
Be 2.4323 -0.1680 1.8122
Be 0.5388 3.0771 2.6173
Be 2.0341 2.1929 0.5282
Be 3.8694 5.5668 0.4143
Co 4.4375 5.3344 2.6858
Co 2.6023 1.9608 2.7997
Co 0.7090 5.2056 3.6045
Co -1.1262 1.8320 3.7183
CELL_PARAMETERS angstrom
-2.9904 1.7677 4.1777
2.6314 -1.3486 2.4542
3.6704 6.7473 -0.2277
```

- M_tot: 0.00 μB per formula unit
- Theoretical density: 11.3 g/cm³
- Distance to the lowest polymorph of the same formula: 0 meV per atom
- SG: Fm-3m

10.
Entry from OQMD via LeMat-Bulk: crystalline YHgSO at its relaxed geometry (GGA-PBE). Values from VASP.

```
&SYSTEM
  ibrav = 0, nat = 16, ntyp = 4
/
ATOMIC_SPECIES
S 32.06 S.upf
Y 88.91 Y.upf
Hg 200.59 Hg.upf
O 16.00 O.upf
ATOMIC_POSITIONS angstrom
S 5.1324 4.1694 3.9775
S 5.2126 6.7749 0.6611
S 1.6834 3.1268 3.1091
S 1.6032 0.5213 6.4255
Y 3.5521 4.6673 1.6026
Y 3.3439 1.0191 2.1675
Y 3.4719 6.2771 4.9191
Y 3.2637 2.6290 5.4840
Hg -0.0655 5.9566 3.2859
Hg -0.1457 4.9878 6.6024
Hg 6.8812 1.3397 3.8007
Hg 6.9614 2.3085 0.4842
O 2.7005 6.2648 2.8734
O 4.1152 1.0315 4.2132
O 2.6203 4.6796 6.1899
O 4.1954 2.6166 0.8967
CELL_PARAMETERS angstrom
6.9761 0.0000 0.4536
0.0000 7.2963 0.0000
-0.1604 0.0000 6.6330
```

- M_tot: 0.00 μB per formula unit
- Theoretical density: 6.6 g/cm³
- Distance to the lowest polymorph of the same formula: 100 meV per atom
- SG: P2_1/c

11.
Entry from OQMD via LeMat-Bulk: crystalline HfZnIr2 at its relaxed geometry (GGA-PBE). Values from VASP.

```
&SYSTEM
  ibrav = 0, nat = 4, ntyp = 3
/
ATOMIC_SPECIES
Ir 192.22 Ir.upf
Hf 178.49 Hf.upf
Zn 65.41 Zn.upf
ATOMIC_POSITIONS angstrom
Ir 0.0000 0.0000 0.0000
Ir 4.7693 4.7693 4.7693
Hf 1.5898 1.5898 1.5898
Zn 3.1795 3.1795 3.1795
CELL_PARAMETERS angstrom
0.0000 3.1795 3.1795
3.1795 0.0000 3.1795
3.1795 3.1795 0.0000
```

- M_tot: 0.01 μB per formula unit
- Formation energy from the elements: -0.23 eV/atom
- Theoretical density: 16.2 g/cm³
- SG: F-43m

12.
Entry from OQMD via LeMat-Bulk: crystalline Ba2HfIrS6 at its relaxed geometry (GGA-PBE). Values from VASP.

```
&SYSTEM
  ibrav = 0, nat = 10, ntyp = 4
/
ATOMIC_SPECIES
Hf 178.49 Hf.upf
S 32.06 S.upf
Ba 137.33 Ba.upf
Ir 192.22 Ir.upf
ATOMIC_POSITIONS angstrom
Hf 0.0000 0.0000 0.0000
S 3.0059 -1.6789 4.1817
S 4.9445 -1.6789 1.4401
S 2.0366 0.0000 1.4401
S 4.9445 1.6789 1.4401
S 3.0059 1.6789 4.1817
S 5.9138 0.0000 4.1817
Ba 7.9504 0.0000 1.4055
Ba 0.0000 0.0000 4.2164
Ir 3.9752 0.0000 2.8109
CELL_PARAMETERS angstrom
5.9628 -3.4426 0.0000
5.9628 3.4426 0.0000
-3.9752 0.0000 5.6218
```

- E_tot: -6.00 eV/atom
- M_tot: 0.07 μB per formula unit
- Theoretical density: 6.0 g/cm³
- SG: Fm-3m